# 1
# ErCdAs (PBE-GGA, relaxed)
# **Raw total energy**: -3.4706 eV/atom
data_ErCdAs
_symmetry_space_group_name_H-M 'F -4 3 m'
_symmetry_Int_Tables_number 216
_symmetry_space_group_name_Hall 'F -4 2 3'
_cell_length_a 6.773
_cell_length_b 6.773
_cell_length_c 6.773
_cell_angle_alpha 90.00
_cell_angle_beta 90.00
_cell_angle_gamma 90.00
loop_
_atom_site_label
_atom_site_type_symbol
_atom_site_fract_x
_atom_site_fract_y
_atom_site_fract_z
Er1 Er 0.000 0.000 0.000
Cd1 Cd 0.250 0.250 0.750
As1 As 0.000 0.000 0.500


# 2
# Re13Ni2 (PBE-GGA, relaxed)
# **ΔH_f (0 K)**: 0.142 eV per atom
# **Raw total energy**: -11.3664 eV/atom
data_Re13Ni2
_symmetry_space_group_name_H-M 'P 42/m n m'
_symmetry_Int_Tables_number 136
_symmetry_space_group_name_Hall '-P 4n 2n'
_cell_length_a 9.502
_cell_length_b 9.502
_cell_length_c 4.908
_cell_angle_alpha 90.00
_cell_angle_beta 90.00
_cell_angle_gamma 90.00
loop_
_atom_site_label
_atom_site_type_symbol
_atom_site_fract_x
_atom_site_fract_y
_atom_site_fract_z
Re1 Re 0.000 0.000 0.000
Re2 Re 0.036 0.367 0.500
Re3 Re 0.067 0.258 0.000
Re4 Re 0.181 0.819 0.253
Ni1 Ni 0.092 0.092 0.500


# 3
# Cu (PBE-GGA, relaxed)
# **ΔH_f (0 K)**: 0.302 eV per atom
# **Polymorph energy (0 for the lowest one)**: 0.302 eV per atom
# **Raw total energy**: -3.4150 eV/atom
data_Cu
_symmetry_space_group_name_H-M 'P -3 m 1'
_symmetry_Int_Tables_number 164
_symmetry_space_group_name_Hall '-P 3 2"'
_cell_length_a 2.5180
_cell_length_b 2.5180
_cell_length_c 12.4223
_cell_angle_alpha 90.00
_cell_angle_beta 90.00
_cell_angle_gamma 120.00
loop_
_atom_site_label
_atom_site_type_symbol
_atom_site_fract_x
_atom_site_fract_y
_atom_site_fract_z
Cu1 Cu 0.0000 0.0000 0.0000
Cu2 Cu 0.3333 0.6667 0.1674


# 4
# PaInTc (PBE-GGA, relaxed)
# **Polymorph energy (0 for the lowest one)**: 0.075 eV per atom
# **Raw total energy**: -6.6076 eV/atom
data_PaInTc
_symmetry_space_group_name_H-M 'F -4 3 m'
_symmetry_Int_Tables_number 216
_symmetry_space_group_name_Hall 'F -4 2 3'
_cell_length_a 6.758
_cell_length_b 6.758
_cell_length_c 6.758
_cell_angle_alpha 90.00
_cell_angle_beta 90.00
_cell_angle_gamma 90.00
loop_
_atom_site_label
_atom_site_type_symbol
_atom_site_fract_x
_atom_site_fract_y
_atom_site_fract_z
Pa1 Pa 0.000 0.000 0.000
In1 In 0.250 0.250 0.750
Tc1 Tc 0.250 0.250 0.250


# 5
# KBe2Cd2P3 (PBE-GGA, relaxed)
# **Polymorph energy (0 for the lowest one)**: 0.000 eV per atom
# **Raw total energy**: -3.5060 eV/atom
data_KBe2Cd2P3
_symmetry_space_group_name_H-M 'R -3 m'
_symmetry_Int_Tables_number 166
_symmetry_space_group_name_Hall '-R 3 2"'
_cell_length_a 3.8126
_cell_length_b 3.8126
_cell_length_c 38.8376
_cell_angle_alpha 90.00
_cell_angle_beta 90.00
_cell_angle_gamma 120.00
loop_
_atom_site_label
_atom_site_type_symbol
_atom_site_fract_x
_atom_site_fract_y
_atom_site_fract_z
K1 K 0.0000 0.0000 0.0000
Be1 Be 0.0000 0.0000 0.4005
Cd1 Cd 0.0000 0.0000 0.2035
P1 P 0.0000 0.0000 0.2700
P2 P 0.0000 0.0000 0.5000


# 6
# GaCoNiIr (PBE-GGA, relaxed)
# **Polymorph energy (0 for the lowest one)**: 0.000 eV per atom
# **Raw total energy**: -6.2796 eV/atom
data_GaCoNiIr
_symmetry_space_group_name_H-M 'F -4 3 m'
_symmetry_Int_Tables_number 216
_symmetry_space_group_name_Hall 'F -4 2 3'
_cell_length_a 5.871
_cell_length_b 5.871
_cell_length_c 5.871
_cell_angle_alpha 90.00
_cell_angle_beta 90.00
_cell_angle_gamma 90.00
loop_
_atom_site_label
_atom_site_type_symbol
_atom_site_fract_x
_atom_site_fract_y
_atom_site_fract_z
Ga1 Ga 0.000 0.000 0.000
Co1 Co 0.250 0.250 0.250
Ni1 Ni 0.000 0.000 0.500
Ir1 Ir 0.250 0.250 0.750